Record 1
DFT (PBE-GGA) results for a geometry-optimized DyHoCdOs structure.

Calculated density ... 11.82 g cm⁻³
Energy of formation from the pure elements ... -222 meV per atom
Space-group type ... F-43m
Distance to the lowest polymorph of the same formula ... 0.097 eV/atom

Structure (CIF):
```
data_DyHoCdOs
_chemical_formula_sum 'Dy1 Ho1 Cd1 Os1'
_symmetry_space_group_name_H-M 'P 1'
_symmetry_Int_Tables_number 1
_symmetry_space_group_name_Hall 'P 1'
_cell_length_a 5.0027
_cell_length_b 5.0027
_cell_length_c 5.0027
_cell_angle_alpha 60.00
_cell_angle_beta 60.00
_cell_angle_gamma 60.00
loop_
_atom_site_label
_atom_site_type_symbol
_atom_site_fract_x
_atom_site_fract_y
_atom_site_fract_z
Ho1 Ho 0.5000 0.5000 0.5000
Cd1 Cd 0.2500 0.2500 0.2500
Os1 Os 0.7500 0.7500 0.7500
Dy1 Dy 0.0000 0.0000 0.0000
```

Record 2
DFT (PBE-GGA) results for a geometry-optimized DyHoCdPd structure.

Calculated density ... 9.58 g cm⁻³
Energy of formation from the pure elements ... -610 meV per atom
Space-group type ... P4mm
Distance to the lowest polymorph of the same formula ... 0.000 eV/atom

Structure (CIF):
```
data_DyHoCdPd
_chemical_formula_sum 'Dy1 Ho1 Cd1 Pd1'
_symmetry_space_group_name_H-M 'P 1'
_symmetry_Int_Tables_number 1
_symmetry_space_group_name_Hall 'P 1'
_cell_length_a 3.5904
_cell_length_b 3.5904
_cell_length_c 7.3434
_cell_angle_alpha 90.00
_cell_angle_beta 90.00
_cell_angle_gamma 90.00
loop_
_atom_site_label
_atom_site_type_symbol
_atom_site_fract_x
_atom_site_fract_y
_atom_site_fract_z
Ho1 Ho 0.0000 0.0000 0.3805
Cd1 Cd 0.5000 0.5000 0.1088
Dy1 Dy 0.0000 0.0000 0.8341
Pd1 Pd 0.5000 0.5000 0.6045
```

Record 3
DFT (PBE-GGA) results for a geometry-optimized DyHo2CdPd4 structure.

Calculated density ... 10.48 g cm⁻³
Energy of formation from the pure elements ... -821 meV per atom
Space-group type ... R-3m

Structure (CIF):
```
data_DyHo2CdPd4
_chemical_formula_sum 'Dy1 Ho2 Cd1 Pd4'
_symmetry_space_group_name_H-M 'P 1'
_symmetry_Int_Tables_number 1
_symmetry_space_group_name_Hall 'P 1'
_cell_length_a 4.8688
_cell_length_b 4.8688
_cell_length_c 8.4356
_cell_angle_alpha 73.23
_cell_angle_beta 73.23
_cell_angle_gamma 60.00
loop_
_atom_site_label
_atom_site_type_symbol
_atom_site_fract_x
_atom_site_fract_y
_atom_site_fract_z
Ho1 Ho 0.2441 0.2441 0.2678
Ho2 Ho 0.7559 0.7559 0.7322
Dy1 Dy 0.0000 0.0000 0.0000
Pd1 Pd 0.1213 0.1213 0.6362
Pd2 Pd 0.6275 0.6275 0.1175
Pd3 Pd 0.8787 0.8787 0.3638
Pd4 Pd 0.3725 0.3725 0.8825
Cd1 Cd 0.5000 0.5000 0.5000
```

Record 4
DFT (PBE-GGA) results for a geometry-optimized DyHoCdPd structure.

Calculated density ... 9.61 g cm⁻³
Energy of formation from the pure elements ... -555 meV per atom
Space-group type ... F-43m
Distance to the lowest polymorph of the same formula ... 0.055 eV/atom

Structure (CIF):
```
data_DyHoCdPd
_chemical_formula_sum 'Dy1 Ho1 Cd1 Pd1'
_symmetry_space_group_name_H-M 'P 1'
_symmetry_Int_Tables_number 1
_symmetry_space_group_name_Hall 'P 1'
_cell_length_a 5.1109
_cell_length_b 5.1109
_cell_length_c 5.1109
_cell_angle_alpha 60.00
_cell_angle_beta 60.00
_cell_angle_gamma 60.00
loop_
_atom_site_label
_atom_site_type_symbol
_atom_site_fract_x
_atom_site_fract_y
_atom_site_fract_z
Dy1 Dy 0.0000 0.0000 0.0000
Cd1 Cd 0.7500 0.7500 0.7500
Ho1 Ho 0.5000 0.5000 0.5000
Pd1 Pd 0.2500 0.2500 0.2500
```